Entry 1:
{
  "formula": "SiPbBr2",
  "functional": "GGA-PBE",
  "state": "relaxed",
  "lattice": [[-2.488, 2.488, 9.675], [2.488, -2.488, 9.675], [2.488, 2.488, -9.675]],
  "species": ["Si", "Si", "Pb", "Pb", "Br", "Br", "Br", "Br"],
  "frac_coords": [[0.000, 0.000, 0.000], [0.750, 0.250, 0.500], [0.250, 0.750, 0.500], [0.500, 0.500, 0.000], [0.102, 0.625, 0.977], [0.375, 0.352, 0.477], [0.648, 0.125, 0.023], [0.875, 0.898, 0.523]],
  "formation_energy_uncorrected_ev_per_atom": 0.1151
}

=====

Entry 2:
{
  "formula": "SiPbBr2",
  "functional": "GGA-PBE",
  "state": "relaxed",
  "lattice": [[1.816, 1.049, 9.972], [-1.816, 1.049, 9.972], [0.000, -2.097, 9.972]],
  "species": ["Si", "Pb", "Br", "Br"],
  "frac_coords": [[0.000, 0.000, 0.000], [0.753, 0.753, 0.753], [0.273, 0.273, 0.273], [0.493, 0.493, 0.493]],
  "formation_energy_uncorrected_ev_per_atom": 0.0732
}

=====

Entry 3:
{
  "formula": "SiPbBr2",
  "functional": "GGA-PBE",
  "state": "relaxed",
  "lattice": [[4.076, 0.000, 0.000], [0.000, 4.120, 0.000], [0.000, 0.000, 8.364]],
  "species": ["Si", "Pb", "Br", "Br"],
  "frac_coords": [[0.000, 0.000, 0.000], [0.500, 0.500, 0.070], [0.000, 0.000, 0.731], [0.500, 0.500, 0.385]],
  "formation_energy_uncorrected_ev_per_atom": -0.1928
}

=====

Entry 4:
{
  "formula": "SiPbBr2",
  "functional": "GGA-PBE",
  "state": "relaxed",
  "lattice": [[3.389, -4.475, 0.000], [3.389, 4.475, 0.000], [-3.374, 0.000, 3.957]],
  "species": ["Si", "Pb", "Br", "Br"],
  "frac_coords": [[0.000, 0.000, 0.000], [0.500, 0.500, 0.000], [0.000, 0.500, 0.500], [0.500, 0.000, 0.500]],
  "formation_energy_uncorrected_ev_per_atom": 0.0331
}

=====

Entry 5:
{
  "formula": "Si2PbBr",
  "functional": "GGA-PBE",
  "state": "relaxed",
  "lattice": [[6.005, -1.902, 0.000], [6.005, 1.902, 0.000], [-2.736, 0.000, 5.285]],
  "species": ["Si", "Si", "Pb", "Br"],
  "frac_coords": [[0.190, 0.190, 0.486], [0.810, 0.810, 0.514], [0.500, 0.500, 0.500], [0.000, 0.000, 0.000]],
  "formation_energy_uncorrected_ev_per_atom": 0.3023
}

=====

Entry 6:
{
  "formula": "Si2PbBr",
  "functional": "GGA-PBE",
  "state": "relaxed",
  "lattice": [[4.446, 0.000, 0.000], [0.000, 3.816, 0.000], [-2.207, 0.000, 6.565]],
  "species": ["Si", "Si", "Pb", "Br"],
  "frac_coords": [[0.000, 0.000, 0.000], [0.307, 0.500, 0.022], [0.902, 0.500, 0.322], [0.592, 0.000, 0.688]],
  "formation_energy_uncorrected_ev_per_atom": 0.1176
}